(1)
Density functional theory data (PBE) for a relaxed structure of NaInGe.

Unit cell a=5.527 b=4.645 c=6.642 alpha=90.00 beta=114.33 gamma=90.00
Space group Pm (No. 6)
Unique sites:
1 Na 0.000 0.000 0.000 (multiplicity 1)
2 Na 0.285 0.000 0.633 (multiplicity 1)
3 In 0.583 0.500 0.038 (multiplicity 1)
4 In 0.673 0.000 0.364 (multiplicity 1)
5 Ge 0.281 0.500 0.304 (multiplicity 1)
6 Ge 0.722 0.500 0.666 (multiplicity 1)

## Properties
calculated density = 4.50 g/cm3
V = 25.89 A^3/atom
D(E_F) = 2.139 states/eV per cell
total DFT energy (no corrections) = -2.883 eV/atom
E_form = 0.009 eV/atom

(2)
Density functional theory data (PBE) for a relaxed structure of Na3InGe.

Unit cell a=5.678 b=5.678 c=5.678 alpha=90.00 beta=90.00 gamma=90.00
Space group Pm-3m (No. 221)
Unique sites:
1 Na 0.000 0.000 0.500 (multiplicity 3)
2 In 0.000 0.000 0.000 (multiplicity 1)
3 Ge 0.500 0.500 0.500 (multiplicity 1)

## Properties
calculated density = 2.33 g/cm3
V = 36.61 A^3/atom
D(E_F) = 3.967 states/eV per cell
energy relative to the lowest polymorph listed for this composition = 625.7 meV per atom
total DFT energy (no corrections) = -1.721 eV/atom
E_form = 0.542 eV/atom

(3)
Density functional theory data (PBE) for a relaxed structure of Na4InGe.

Unit cell a=6.165 b=18.400 c=5.291 alpha=90.00 beta=90.00 gamma=90.00
Space group Cmcm (No. 63)
Unique sites:
1 Na 0.242 0.042 0.250 (multiplicity 8)
2 Na 0.247 0.208 0.250 (multiplicity 8)
3 In 0.000 0.377 0.250 (multiplicity 4)
4 Ge 0.000 0.127 0.750 (multiplicity 4)

## Properties
calculated density = 3.09 g/cm3
V = 25.01 A^3/atom
D(E_F) = 7.040 states/eV per cell
total DFT energy (no corrections) = -2.145 eV/atom
E_form = -0.040 eV/atom

(4)
Density functional theory data (PBE) for a relaxed structure of Na4In3Ge2.

Unit cell a=16.582 b=4.329 c=7.501 alpha=90.00 beta=110.12 gamma=90.00
Space group C2/m (No. 12)
Unique sites:
1 Na 0.087 0.000 0.349 (multiplicity 4)
2 Na 0.231 0.500 0.178 (multiplicity 4)
3 In 0.000 0.500 0.000 (multiplicity 2)
4 In 0.089 0.500 0.676 (multiplicity 4)
5 Ge 0.107 0.000 0.936 (multiplicity 4)

## Properties
calculated density = 3.82 g/cm3
V = 28.09 A^3/atom
D(E_F) = 8.926 states/eV per cell
total DFT energy (no corrections) = -2.574 eV/atom
E_form = -0.049 eV/atom

(5)
Density functional theory data (PBE) for a relaxed structure of Na2InGe.

Unit cell a=7.278 b=7.278 c=7.278 alpha=90.00 beta=90.00 gamma=90.00
Space group Fm-3m (No. 225)
Unique sites:
1 Na 0.250 0.250 0.250 (multiplicity 8)
2 In 0.000 0.000 0.000 (multiplicity 4)
3 Ge 0.000 0.000 0.500 (multiplicity 4)

## Properties
calculated density = 4.02 g/cm3
V = 24.09 A^3/atom
D(E_F) = 10.755 states/eV per cell
energy relative to the lowest polymorph listed for this composition = 98.8 meV per atom
total DFT energy (no corrections) = -2.462 eV/atom
E_form = 0.037 eV/atom

(6)
Density functional theory data (PBE) for a relaxed structure of NaInGe.

Unit cell a=7.781 b=4.680 c=8.144 alpha=90.00 beta=90.00 gamma=90.00
Space group Pnma (No. 62)
Unique sites:
1 Na 0.012 0.250 0.176 (multiplicity 4)
2 In 0.162 0.250 0.585 (multiplicity 4)
3 Ge 0.203 0.750 0.401 (multiplicity 4)

## Properties
calculated density = 4.71 g/cm3
V = 24.71 A^3/atom
D(E_F) = 0.970 states/eV per cell
total DFT energy (no corrections) = -2.982 eV/atom
E_form = -0.091 eV/atom

(7)
Density functional theory data (PBE) for a relaxed structure of NaInGe.

Unit cell a=5.5129 b=5.5129 c=10.3919 alpha=90.00 beta=90.00 gamma=120.00
Space group P6_3/mmc (No. 194)
Unique sites:
1 Na 0.3333 0.6667 0.2500 (multiplicity 2)
2 In 0.0000 0.0000 0.2500 (multiplicity 2)
3 Ge 0.0000 0.0000 0.0000 (multiplicity 2)

## Properties
calculated density = 2.56 g/cm3
V = 45.59 A^3/atom
D(E_F) = 3.900 states/eV per cell
total DFT energy (no corrections) = -2.277 eV/atom
E_form = 0.614 eV/atom

(8)
Density functional theory data (PBE) for a relaxed structure of Na3InGe.

Unit cell a=11.376 b=9.364 c=7.598 alpha=90.00 beta=130.55 gamma=90.00
Space group C2/m (No. 12)
Unique sites:
1 Na 0.057 0.000 0.274 (multiplicity 4)
2 Na 0.215 0.310 0.173 (multiplicity 8)
3 In 0.077 0.500 0.381 (multiplicity 4)
4 Ge 0.232 0.500 0.859 (multiplicity 4)

## Properties
calculated density = 2.77 g/cm3
V = 30.75 A^3/atom
D(E_F) = 9.548 states/eV per cell
energy relative to the lowest polymorph listed for this composition = 48.6 meV per atom
total DFT energy (no corrections) = -2.298 eV/atom
E_form = -0.035 eV/atom

(9)
Density functional theory data (PBE) for a relaxed structure of NaInGe.

Unit cell a=5.856 b=8.208 c=6.547 alpha=90.00 beta=90.00 gamma=90.00
Space group Cmcm (No. 63)
Unique sites:
1 Na 0.000 0.139 0.250 (multiplicity 4)
2 In 0.000 0.500 0.000 (multiplicity 4)
3 Ge 0.000 0.236 0.750 (multiplicity 4)

## Properties
calculated density = 4.44 g/cm3
V = 26.23 A^3/atom
D(E_F) = 3.106 states/eV per cell
total DFT energy (no corrections) = -2.788 eV/atom
E_form = 0.104 eV/atom

(10)
Density functional theory data (PBE) for a relaxed structure of NaInGe2.

Unit cell a=6.985 b=4.866 c=11.593 alpha=90.00 beta=90.00 gamma=90.00
Space group Pnma (No. 62)
Unique sites:
1 Na 0.158 0.250 0.147 (multiplicity 4)
2 In 0.171 0.250 0.439 (multiplicity 4)
3 Ge 0.023 0.250 0.663 (multiplicity 4)
4 Ge 0.150 0.250 0.867 (multiplicity 4)

## Properties
calculated density = 4.77 g/cm3
V = 24.62 A^3/atom
D(E_F) = 4.460 states/eV per cell
total DFT energy (no corrections) = -3.334 eV/atom
E_form = -0.011 eV/atom

(11)
Density functional theory data (PBE) for a relaxed structure of Na2In2Ge3.

Unit cell a=11.832 b=4.394 c=7.329 alpha=90.00 beta=115.78 gamma=90.00
Space group C2/m (No. 12)
Unique sites:
1 Na 0.138 0.000 0.289 (multiplicity 4)
2 In 0.161 0.000 0.766 (multiplicity 4)
3 Ge 0.000 0.500 0.500 (multiplicity 2)
4 Ge 0.084 0.500 0.937 (multiplicity 4)

## Properties
calculated density = 4.78 g/cm3
V = 24.51 A^3/atom
D(E_F) = 5.093 states/eV per cell
total DFT energy (no corrections) = -3.173 eV/atom
E_form = -0.035 eV/atom

(12)
Density functional theory data (PBE) for a relaxed structure of NaInGe2.

Unit cell a=3.804 b=3.804 c=6.653 alpha=90.00 beta=90.00 gamma=90.00
Space group P4/mmm (No. 123)
Unique sites:
1 Na 0.000 0.000 0.000 (multiplicity 1)
2 In 0.000 0.000 0.500 (multiplicity 1)
3 Ge 0.500 0.500 0.304 (multiplicity 2)

## Properties
calculated density = 4.88 g/cm3
V = 24.07 A^3/atom
D(E_F) = 0.880 states/eV per cell
total DFT energy (no corrections) = -3.287 eV/atom
E_form = 0.036 eV/atom

(13)
Density functional theory data (PBE) for a relaxed structure of NaInGe.

Unit cell a=3.981 b=5.343 c=7.579 alpha=84.66 beta=89.99 gamma=68.13
Space group P-1 (No. 2)
Unique sites:
1 Na 0.044 0.414 0.218 (multiplicity 2)
2 In 0.347 0.804 0.430 (multiplicity 2)
3 Ge 0.320 0.860 0.051 (multiplicity 2)

## Properties
calculated density = 4.69 g/cm3
V = 24.81 A^3/atom
D(E_F) = 1.761 states/eV per cell
total DFT energy (no corrections) = -2.937 eV/atom
E_form = -0.045 eV/atom

(14)
Density functional theory data (PBE) for a relaxed structure of NaInGe.

Unit cell a=3.943 b=5.976 c=7.414 alpha=109.89 beta=105.41 gamma=90.10
Space group P1 (No. 1)
Unique sites:
1 Na 0.000 0.000 0.000 (multiplicity 1)
2 Na 0.408 0.432 0.816 (multiplicity 1)
3 In 0.109 0.583 0.220 (multiplicity 1)
4 In 0.699 0.049 0.397 (multiplicity 1)
5 Ge 0.325 0.882 0.650 (multiplicity 1)
6 Ge 0.765 0.574 0.530 (multiplicity 1)

## Properties
calculated density = 4.44 g/cm3
V = 26.26 A^3/atom
D(E_F) = 2.826 states/eV per cell
total DFT energy (no corrections) = -2.934 eV/atom
E_form = -0.043 eV/atom

(15)
Density functional theory data (PBE) for a relaxed structure of Na2InGe.

Unit cell a=4.370 b=4.370 c=21.649 alpha=90.00 beta=90.00 gamma=90.00
Space group I-42d (No. 122)
Unique sites:
1 Na 0.234 0.250 0.125 (multiplicity 8)
2 In 0.000 0.000 0.500 (multiplicity 4)
3 Ge 0.000 0.000 0.000 (multiplicity 4)

## Properties
calculated density = 3.75 g/cm3
V = 25.84 A^3/atom
D(E_F) = 7.326 states/eV per cell
energy relative to the lowest polymorph listed for this composition = 182.3 meV per atom
total DFT energy (no corrections) = -2.378 eV/atom
E_form = 0.120 eV/atom

(16)
Density functional theory data (PBE) for a relaxed structure of NaInGe.

Unit cell a=6.526 b=4.445 c=9.918 alpha=90.00 beta=90.00 gamma=90.00
Space group Pnma (No. 62)
Unique sites:
1 Na 0.128 0.250 0.081 (multiplicity 4)
2 In 0.081 0.250 0.731 (multiplicity 4)
3 Ge 0.111 0.250 0.432 (multiplicity 4)

## Properties
calculated density = 4.86 g/cm3
V = 23.97 A^3/atom
D(E_F) = 3.844 states/eV per cell
total DFT energy (no corrections) = -2.881 eV/atom
E_form = 0.011 eV/atom

(17)
Density functional theory data (PBE) for a relaxed structure of NaInGe.

Unit cell a=3.857 b=15.696 c=5.279 alpha=90.00 beta=90.00 gamma=90.00
Space group Imm2 (No. 44)
Unique sites:
1 Na 0.000 0.177 0.000 (multiplicity 4)
2 In 0.000 0.386 0.006 (multiplicity 4)
3 Ge 0.000 0.000 0.261 (multiplicity 2)
4 Ge 0.000 0.500 0.435 (multiplicity 2)

## Properties
calculated density = 4.37 g/cm3
V = 26.63 A^3/atom
D(E_F) = 4.298 states/eV per cell
total DFT energy (no corrections) = -2.922 eV/atom
E_form = -0.031 eV/atom

(18)
Density functional theory data (PBE) for a relaxed structure of Na2InGe.

Unit cell a=4.6946 b=4.6946 c=17.0859 alpha=90.00 beta=90.00 gamma=120.00
Space group R3m (No. 160, hexagonal axes)
Unique sites:
1 Na 0.0000 0.0000 0.0000 (multiplicity 3)
2 Na 0.0000 0.0000 0.2216 (multiplicity 3)
3 In 0.0000 0.0000 0.7921 (multiplicity 3)
4 Ge 0.0000 0.0000 0.4145 (multiplicity 3)

## Properties
calculated density = 3.57 g/cm3
V = 27.17 A^3/atom
D(E_F) = 4.909 states/eV per cell
energy relative to the lowest polymorph listed for this composition = 0.0 meV per atom
total DFT energy (no corrections) = -2.561 eV/atom
E_form = -0.062 eV/atom

(19)
Density functional theory data (PBE) for a relaxed structure of Na2InGe.

Unit cell a=3.482 b=3.482 c=8.067 alpha=90.00 beta=90.00 gamma=90.00
Space group P4/mmm (No. 123)
Unique sites:
1 Na 0.000 0.000 0.226 (multiplicity 2)
2 In 0.500 0.500 0.500 (multiplicity 1)
3 Ge 0.500 0.500 0.000 (multiplicity 1)

## Properties
calculated density = 3.96 g/cm3
V = 24.45 A^3/atom
D(E_F) = 1.844 states/eV per cell
energy relative to the lowest polymorph listed for this composition = 83.7 meV per atom
total DFT energy (no corrections) = -2.477 eV/atom
E_form = 0.022 eV/atom

(20)
Density functional theory data (PBE) for a relaxed structure of NaInGe.

Unit cell a=4.525 b=6.009 c=6.928 alpha=69.31 beta=83.10 gamma=75.51
Space group P1 (No. 1)
Unique sites:
1 Na 0.000 0.000 0.000 (multiplicity 1)
2 Na 0.378 0.417 0.273 (multiplicity 1)
3 In 0.090 0.885 0.480 (multiplicity 1)
4 In 0.450 0.418 0.760 (multiplicity 1)
5 Ge 0.533 0.981 0.682 (multiplicity 1)
6 Ge 0.857 0.577 0.917 (multiplicity 1)

## Properties
calculated density = 4.10 g/cm3
V = 28.42 A^3/atom
D(E_F) = 1.106 states/eV per cell
total DFT energy (no corrections) = -2.912 eV/atom
E_form = -0.021 eV/atom

(21)
Density functional theory data (PBE) for a relaxed structure of Na6InGe2.

Unit cell a=5.3396 b=5.3396 c=29.6323 alpha=90.00 beta=90.00 gamma=120.00
Space group R-3m (No. 166, hexagonal axes)
Unique sites:
1 Na 0.0000 0.0000 0.0783 (multiplicity 6)
2 Na 0.0000 0.0000 0.2051 (multiplicity 6)
3 Na 0.0000 0.0000 0.3092 (multiplicity 6)
4 In 0.0000 0.0000 0.5000 (multiplicity 3)
5 Ge 0.0000 0.0000 0.4105 (multiplicity 6)

## Properties
calculated density = 2.71 g/cm3
V = 27.10 A^3/atom
D(E_F) = 11.421 states/eV per cell
total DFT energy (no corrections) = -2.293 eV/atom
E_form = -0.084 eV/atom

(22)
Density functional theory data (PBE) for a relaxed structure of NaInGe.

Unit cell a=4.8296 b=4.8296 c=3.5554 alpha=90.00 beta=90.00 gamma=120.00
Space group P3m1 (No. 156)
Unique sites:
1 Na 0.0000 0.0000 0.0000 (multiplicity 1)
2 In 0.3333 0.6667 0.4618 (multiplicity 1)
3 Ge 0.6667 0.3333 0.5571 (multiplicity 1)

## Properties
calculated density = 4.87 g/cm3
V = 23.94 A^3/atom
D(E_F) = 0.808 states/eV per cell
total DFT energy (no corrections) = -2.913 eV/atom
E_form = -0.022 eV/atom

(23)
Density functional theory data (PBE) for a relaxed structure of Na3In4Ge.

Unit cell a=6.063 b=8.001 c=10.009 alpha=90.00 beta=90.00 gamma=90.00
Space group Imm2 (No. 44)
Unique sites:
1 Na 0.000 0.000 0.000 (multiplicity 2)
2 Na 0.000 0.220 0.618 (multiplicity 4)
3 In 0.000 0.313 0.301 (multiplicity 4)
4 In 0.241 0.500 0.833 (multiplicity 4)
5 Ge 0.000 0.500 0.072 (multiplicity 2)

## Properties
calculated density = 4.11 g/cm3
V = 30.34 A^3/atom
D(E_F) = 7.965 states/eV per cell
total DFT energy (no corrections) = -2.452 eV/atom
E_form = -0.011 eV/atom

(24)
Density functional theory data (PBE) for a relaxed structure of NaInGe.

Unit cell a=7.352 b=10.412 c=4.544 alpha=90.00 beta=90.00 gamma=90.00
Space group Cmme (No. 67)
Unique sites:
1 Na 0.250 0.000 0.000 (multiplicity 4)
2 In 0.250 0.250 0.500 (multiplicity 4)
3 Ge 0.000 0.250 0.063 (multiplicity 4)

## Properties
calculated density = 4.02 g/cm3
V = 28.98 A^3/atom
D(E_F) = 1.933 states/eV per cell
total DFT energy (no corrections) = -2.809 eV/atom
E_form = 0.083 eV/atom

(25)
Density functional theory data (PBE) for a relaxed structure of NaInGe.

Unit cell a=6.395 b=6.395 c=7.729 alpha=90.00 beta=90.00 gamma=90.00
Space group P4_122 (No. 91)
Unique sites:
1 Na 0.000 0.295 0.000 (multiplicity 4)
2 In 0.277 0.277 0.375 (multiplicity 4)
3 Ge 0.301 0.500 0.750 (multiplicity 4)

## Properties
calculated density = 4.42 g/cm3
V = 26.34 A^3/atom
D(E_F) = 3.550 states/eV per cell
total DFT energy (no corrections) = -2.830 eV/atom
E_form = 0.061 eV/atom